*w*
The following is a DFT calculation (GGA-PBE) of a geometry-optimized Tb3Gd structure.

a b c (Å): 5.0395 5.0395 5.0395
angles (deg): 90.00 90.00 90.00
Closest atoms and distances in Å follow each position.
Fractional coordinates of all 4 atoms:
Tb1 0.0000 0.0000 0.5000  4 Gd 3.56, 8 Tb 3.56
Tb2 0.0000 0.5000 0.0000  4 Gd 3.56, 8 Tb 3.56
Tb3 0.5000 0.0000 0.0000  4 Gd 3.56, 8 Tb 3.56
Gd1 0.5000 0.5000 0.5000  12 Tb 3.56

Values from the calculation:
As for the space group: Pm-3m.

*x*
The following is a DFT calculation (GGA-PBE) of a geometry-optimized Tb3Gd structure.

a b c (Å): 6.7702 6.7702 6.7702
angles (deg): 148.93 64.82 124.68
Closest atoms and distances in Å follow each position.
Fractional coordinates of all 4 atoms:
Tb1 0.0000 0.0000 0.0000  8 Tb 3.52-3.63, 4 Gd 3.62-3.64
Tb2 0.4148 0.6668 0.7480  9 Tb 3.52-3.63, 3 Gd 3.53-3.56
Tb3 0.9188 0.6668 0.2520  9 Tb 3.52-3.63, 3 Gd 3.53-3.56
Gd1 0.5014 0.0014 0.5000  10 Tb 3.53-3.64, 2 Gd 3.63

Values from the calculation:
As for the space group: Imm2.

Quick one: most stable of them? *x*

*w*
The following is a DFT calculation (GGA-PBE) of a geometry-optimized Tb3Gd structure.

a b c (Å): 6.1764 6.1764 6.1764
angles (deg): 131.83 131.83 70.50
Closest atoms and distances in Å follow each position.
Fractional coordinates of all 4 atoms:
Tb1 0.0000 0.0000 0.0000  4 Gd 3.56, 8 Tb 3.57
Tb2 0.2500 0.7500 0.5000  8 Tb 3.56-3.57, 4 Gd 3.57
Tb3 0.7500 0.2500 0.5000  8 Tb 3.56-3.57, 4 Gd 3.57
Gd1 0.5000 0.5000 0.0000  12 Tb 3.56-3.57

Values from the calculation:
As for the space group: I4/mmm.

*x*
The following is a DFT calculation (GGA-PBE) of a geometry-optimized Tb3Gd structure.

a b c (Å): 5.6840 5.6840 5.6840
angles (deg): 60.00 60.00 60.00
Closest atoms and distances in Å follow each position.
Fractional coordinates of all 4 atoms:
Tb1 0.0000 0.0000 0.0000  8 Tb 3.48
Tb2 0.2500 0.2500 0.2500  4 Gd 3.48, 4 Tb 3.48
Tb3 0.7500 0.7500 0.7500  4 Gd 3.48, 4 Tb 3.48
Gd1 0.5000 0.5000 0.5000  8 Tb 3.48

Values from the calculation:
As for the space group: Fm-3m.

Quick one: most stable of them? *w*